(1)
Crystalline CaNi2BiPd at its relaxed geometry. Source: Alexandria, functional PBEsol.

a b c (Å): 4.6727 4.6727 4.9518
angles (deg): 90.00 90.00 90.00
Atoms (fractional coordinates):
Pd 0.0000 0.0000 0.0000
Ca 0.0000 0.0000 0.5000
Ni 0.5000 0.0000 0.0000
Ni 0.0000 0.5000 0.0000
Bi 0.5000 0.5000 0.5000

Properties
**SG**: P4/mmm, No. 123
**Calculated total energy**: -4.4108 eV/atom
**Calculated formation energy**: 0.53 eV/atom

=====

(2)
Crystalline NiTeAs at its relaxed geometry. Source: Alexandria, functional PBEsol.

a b c (Å): 3.0100 3.0100 6.5759
angles (deg): 103.23 103.23 90.00
Atoms (fractional coordinates):
As 0.9552 0.9552 0.9104
Te 0.6922 0.6922 0.3844
Ni 0.3526 0.3526 0.7052

Properties
**SG**: I4mm, No. 107
**Calculated total energy**: -4.8334 eV/atom
**Formation energy (no corrections)**: 0.0966 eV/atom

=====

(3)
Crystalline DyAgSn at its relaxed geometry. Source: Alexandria, functional PBEsol.

a b c (Å): 4.6534 4.6534 7.2578
angles (deg): 90.00 90.00 120.00
Atoms (fractional coordinates):
Sn 0.6667 0.3333 0.5541
Sn 0.3333 0.6667 0.0541
Ag 0.3333 0.6667 0.4624
Ag 0.6667 0.3333 0.9624
Dy 0.0000 0.0000 0.7754
Dy 0.0000 0.0000 0.2754

Properties
**SG**: P6_3mc, No. 186
**Calculated total energy**: -4.8297 eV/atom
**Calculated formation energy**: -0.65 eV/atom

=====

(4)
Crystalline BeCu2Si at its relaxed geometry. Source: Alexandria, functional PBEsol.

a b c (Å): 3.5454 3.5454 4.2667
angles (deg): 114.55 114.55 90.00
Atoms (fractional coordinates):
Be 0.5000 0.5000 0.0000
Si 0.0000 0.0000 0.0000
Cu 0.2500 0.7500 0.5000
Cu 0.7500 0.2500 0.5000

Properties
**SG**: I4/mmm, No. 139
**Calculated total energy**: -4.6268 eV/atom
**Formation energy (no corrections)**: -0.0230 eV/atom

=====

(5)
Crystalline TbCdAu2 at its relaxed geometry. Source: Alexandria, functional PBEsol.

a b c (Å): 4.8449 4.8449 4.8449
angles (deg): 60.00 60.00 60.00
Atoms (fractional coordinates):
Au 0.2500 0.2500 0.2500
Au 0.7500 0.7500 0.7500
Cd 0.0000 0.0000 0.0000
Tb 0.5000 0.5000 0.5000

Properties
**SG**: Fm-3m, No. 225
**Calculated total energy**: -4.1908 eV/atom
**Calculated formation energy**: -0.68 eV/atom

=====

(6)
Crystalline YNbBrF2 at its relaxed geometry. Source: Alexandria, functional PBEsol.

a b c (Å): 4.2500 4.2500 6.0641
angles (deg): 90.00 90.00 90.00
Atoms (fractional coordinates):
Br 0.0000 0.0000 0.5000
Y 0.0000 0.0000 0.0000
F 0.5000 0.0000 0.0000
F 0.0000 0.5000 0.0000
Nb 0.5000 0.5000 0.5000

Properties
**SG**: P4/mmm, No. 123
**Calculated total energy**: -6.1702 eV/atom
**Formation energy (no corrections)**: -1.4965 eV/atom

=====

(7)
Crystalline YBi2C at its relaxed geometry. Source: Alexandria, functional PBEsol.

a b c (Å): 6.3019 6.3019 6.3019
angles (deg): 108.79 108.79 110.83
Atoms (fractional coordinates):
Y 0.0000 0.0000 0.0000
Y 0.2500 0.7500 0.5000
Bi 0.4618 0.3750 0.5868
Bi 0.1250 0.5382 0.9132
Bi 0.7882 0.8750 0.4132
Bi 0.6250 0.2118 0.0868
C 0.7500 0.2500 0.5000
C 0.5000 0.5000 0.0000

Properties
**SG**: I-42d, No. 122
**Calculated total energy**: -5.6527 eV/atom
**Calculated formation energy**: 0.61 eV/atom

=====

(8)
Crystalline MnNb3Cl at its relaxed geometry. Source: Alexandria, functional PBEsol.

a b c (Å): 4.5101 4.5101 4.5101
angles (deg): 90.00 90.00 90.00
Atoms (fractional coordinates):
Nb 0.0000 0.0000 0.5000
Nb 0.0000 0.5000 0.0000
Nb 0.5000 0.0000 0.0000
Cl 0.0000 0.0000 0.0000
Mn 0.5000 0.5000 0.5000

Properties
**SG**: Pm-3m, No. 221
**Calculated total energy**: -8.0819 eV/atom
**Polymorph energy (0 for the lowest one)**: 0 meV per atom
**Formation energy (no corrections)**: 0.7648 eV/atom

=====

(9)
Crystalline RbZrS2N at its relaxed geometry. Source: Alexandria, functional PBEsol.

a b c (Å): 4.2940 5.0787 5.0787
angles (deg): 90.00 90.00 90.00
Atoms (fractional coordinates):
S 0.0000 0.5000 0.0000
S 0.0000 0.0000 0.5000
N 0.5000 0.0000 0.0000
Rb 0.5000 0.5000 0.5000
Zr 0.0000 0.0000 0.0000

Properties
**SG**: P4/mmm, No. 123
**Calculated total energy**: -6.2067 eV/atom
**Polymorph energy (0 for the lowest one)**: 0 meV per atom
**Formation energy (no corrections)**: -0.7247 eV/atom

=====

(10)
Crystalline GeS2I at its relaxed geometry. Source: Alexandria, functional PBEsol.

a b c (Å): 3.7967 3.7967 8.1413
angles (deg): 76.52 76.52 60.00
Atoms (fractional coordinates):
S 0.1098 0.1098 0.6705
S 0.8902 0.8902 0.3295
Ge 0.5000 0.5000 0.5000
I 0.0000 0.0000 0.0000

Properties
**SG**: R-3m, No. 166
**Calculated total energy**: -3.8759 eV/atom
**Formation energy (no corrections)**: -0.0074 eV/atom

=====

(11)
Crystalline Te2RhW at its relaxed geometry. Source: Alexandria, functional PBEsol.

a b c (Å): 3.3841 4.6365 5.1277
angles (deg): 101.00 109.27 90.00
Atoms (fractional coordinates):
W 0.5117 0.5507 0.0234
Te 0.2419 0.6745 0.4837
Te 0.0010 0.0869 0.0020
Rh 0.7454 0.1879 0.4908

Properties
**SG**: Cm, No. 8
**Calculated total energy**: -6.9075 eV/atom
**Polymorph energy (0 for the lowest one)**: 43 meV per atom
**Formation energy (no corrections)**: 0.3421 eV/atom

=====

(12)
Crystalline TlIrSeBr2 at its relaxed geometry. Source: Alexandria, functional PBEsol.

a b c (Å): 4.6178 5.3217 5.3217
angles (deg): 90.00 90.00 90.00
Atoms (fractional coordinates):
Br 0.0000 0.0000 0.5000
Br 0.0000 0.5000 0.0000
Tl 0.5000 0.5000 0.5000
Se 0.5000 0.0000 0.0000
Ir 0.0000 0.0000 0.0000

Properties
**SG**: P4/mmm, No. 123
**Calculated total energy**: -4.0673 eV/atom
**Formation energy (no corrections)**: -0.0585 eV/atom